Entry 1:
A geometry-optimized KAgP2 structure. Source: Alexandria, functional PBE-GGA.

a b c (Å): 4.873 4.873 4.873
angles (deg): 60.00 60.00 60.00
Atoms (fractional coordinates):
K 0.000 0.000 0.000
Ag 0.500 0.500 0.500
P 0.250 0.250 0.250
P 0.750 0.750 0.750

Energy above the most stable polymorph in this dataset ... 726.9 meV/atom
Calculated total energy ... -12.52 eV per cell
Calculated density ... 4.24 g/cm3
DFT formation energy ... 2.25 eV/f.u.

---

Entry 2:
A geometry-optimized KAgP2 structure. Source: Alexandria, functional PBE-GGA.

a b c (Å): 5.368 5.368 5.368
angles (deg): 132.16 132.16 69.97
Atoms (fractional coordinates):
K 0.000 0.000 0.000
Ag 0.500 0.500 0.000
P 0.250 0.750 0.500
P 0.750 0.250 0.500

Energy above the most stable polymorph in this dataset ... 723.1 meV/atom
Calculated total energy ... -12.53 eV per cell
Calculated density ... 4.16 g/cm3
DFT formation energy ... 2.24 eV/f.u.

---

Entry 3:
A geometry-optimized KAgP2 structure. Source: Alexandria, functional PBE-GGA.

a b c (Å): 4.262 4.286 4.469
angles (deg): 90.00 90.00 90.00
Atoms (fractional coordinates):
K 0.000 0.000 0.000
Ag 0.500 0.500 0.000
P 0.000 0.500 0.500
P 0.500 0.000 0.500

Energy above the most stable polymorph in this dataset ... 687.0 meV/atom
Calculated total energy ... -12.68 eV per cell
Calculated density ... 4.25 g/cm3
DFT formation energy ... 2.09 eV/f.u.

---

Entry 4:
A geometry-optimized KAgP2 structure. Source: Alexandria, functional PBE-GGA.

a b c (Å): 5.440 5.440 5.934
angles (deg): 94.41 94.41 36.62
Atoms (fractional coordinates):
K 0.000 0.000 0.000
Ag 0.500 0.500 0.500
P 0.269 0.269 0.381
P 0.731 0.731 0.619

Energy above the most stable polymorph in this dataset ... 42.3 meV/atom
Calculated total energy ... -15.26 eV per cell
Calculated density ... 3.32 g/cm3
DFT formation energy ... -0.49 eV/f.u.

---

Entry 5:
A geometry-optimized KAgP2 structure. Source: Alexandria, functional PBE-GGA.

a b c (Å): 9.553 9.553 9.553
angles (deg): 150.92 150.92 41.60
Atoms (fractional coordinates):
K 0.375 0.625 0.750
K 0.625 0.375 0.250
Ag 0.125 0.875 0.250
Ag 0.875 0.125 0.750
P 0.000 0.000 0.000
P 0.000 0.000 0.500
P 0.000 0.500 0.000
P 0.500 0.000 0.500

Energy above the most stable polymorph in this dataset ... 211.1 meV/atom
Calculated total energy ... -29.16 eV per cell
Calculated density ... 3.38 g/cm3
DFT formation energy ... 0.19 eV/f.u.

---

Entry 6:
A geometry-optimized K3AgP structure. Source: Alexandria, functional PBE-GGA.

a b c (Å): 6.194 6.194 6.194
angles (deg): 90.00 90.00 90.00
Atoms (fractional coordinates):
K 0.000 0.000 0.500
K 0.000 0.500 0.000
K 0.500 0.000 0.000
Ag 0.500 0.500 0.500
P 0.000 0.000 0.000

Energy above the most stable polymorph in this dataset ... 0.0 meV/atom
Calculated total energy ... -11.10 eV per cell
Calculated density ... 1.79 g/cm3
DFT formation energy ... 0.45 eV/f.u.

---

Entry 7:
A geometry-optimized KAgP2 structure. Source: Alexandria, functional PBE-GGA.

a b c (Å): 3.947 4.415 6.130
angles (deg): 90.00 90.00 90.00
Atoms (fractional coordinates):
K 0.000 0.000 0.000
Ag 0.500 0.000 0.500
P 0.500 0.500 0.321
P 0.500 0.500 0.679

Energy above the most stable polymorph in this dataset ... 160.1 meV/atom
Calculated total energy ... -14.78 eV per cell
Calculated density ... 3.25 g/cm3
DFT formation energy ... -0.02 eV/f.u.

---

Entry 8:
A geometry-optimized K4AgP2 structure. Source: Alexandria, functional PBE-GGA.

a b c (Å): 9.699 9.699 9.699
angles (deg): 33.52 33.52 33.52
Atoms (fractional coordinates):
K 0.116 0.116 0.116
K 0.293 0.293 0.293
K 0.707 0.707 0.707
K 0.884 0.884 0.884
Ag 0.500 0.500 0.500
P 0.413 0.413 0.413
P 0.587 0.587 0.587

Calculated total energy ... -19.84 eV per cell
Calculated density ... 2.19 g/cm3
DFT formation energy ... -1.78 eV/f.u.

---

Entry 9:
A geometry-optimized KAgP4 structure. Source: Alexandria, functional PBE-GGA.

a b c (Å): 6.144 6.144 6.144
angles (deg): 60.00 60.00 60.00
Atoms (fractional coordinates):
K 0.000 0.000 0.000
Ag 0.250 0.250 0.250
P 0.230 0.590 0.590
P 0.590 0.230 0.590
P 0.590 0.590 0.230
P 0.590 0.590 0.590

Calculated total energy ... -24.83 eV per cell
Calculated density ... 2.74 g/cm3
DFT formation energy ... 0.76 eV/f.u.

---

Entry 10:
A geometry-optimized K2Ag2P structure. Source: Alexandria, functional PBE-GGA.

a b c (Å): 6.961 6.961 5.378
angles (deg): 90.00 90.00 90.00
Atoms (fractional coordinates):
K 0.181 0.319 0.000
K 0.319 0.819 0.000
K 0.681 0.181 0.000
K 0.819 0.681 0.000
Ag 0.147 0.647 0.500
Ag 0.353 0.147 0.500
Ag 0.647 0.853 0.500
Ag 0.853 0.353 0.500
P 0.000 0.000 0.500
P 0.500 0.500 0.500

Energy above the most stable polymorph in this dataset ... 0.0 meV/atom
Calculated total energy ... -26.48 eV per cell
Calculated density ... 4.14 g/cm3
DFT formation energy ... 0.07 eV/f.u.

---

Entry 11:
A geometry-optimized KAgP2 structure. Source: Alexandria, functional PBE-GGA.

a b c (Å): 5.113 3.355 6.206
angles (deg): 90.00 106.75 90.00
Atoms (fractional coordinates):
K 0.000 0.000 0.000
Ag 0.048 0.500 0.510
P 0.547 0.500 0.594
P 0.606 0.000 0.369

Energy above the most stable polymorph in this dataset ... 82.4 meV/atom
Calculated total energy ... -15.10 eV per cell
Calculated density ... 3.40 g/cm3
DFT formation energy ... -0.33 eV/f.u.

---

Entry 12:
A geometry-optimized KAgP2 structure. Source: Alexandria, functional PBE-GGA.

a b c (Å): 4.910 4.910 4.910
angles (deg): 60.00 60.00 60.00
Atoms (fractional coordinates):
K 0.000 0.000 0.000
Ag 0.250 0.250 0.250
P 0.500 0.500 0.500
P 0.750 0.750 0.750

Energy above the most stable polymorph in this dataset ... 749.5 meV/atom
Calculated total energy ... -12.43 eV per cell
Calculated density ... 4.15 g/cm3
DFT formation energy ... 2.34 eV/f.u.

---

Entry 13:
A geometry-optimized KAgP2 structure. Source: Alexandria, functional PBE-GGA.

a b c (Å): 2.994 2.994 8.895
angles (deg): 90.00 90.00 90.00
Atoms (fractional coordinates):
K 0.000 0.000 0.000
Ag 0.000 0.000 0.500
P 0.500 0.500 0.285
P 0.500 0.500 0.715

Energy above the most stable polymorph in this dataset ... 535.8 meV/atom
Calculated total energy ... -13.28 eV per cell
Calculated density ... 4.35 g/cm3
DFT formation energy ... 1.49 eV/f.u.

---

Entry 14:
A geometry-optimized KAg6P2 structure. Source: Alexandria, functional PBE-GGA.

a b c (Å): 4.434 4.434 8.838
angles (deg): 90.00 90.00 90.00
Atoms (fractional coordinates):
K 0.000 0.000 0.000
Ag 0.000 0.000 0.500
Ag 0.000 0.500 0.284
Ag 0.000 0.500 0.716
Ag 0.500 0.000 0.284
Ag 0.500 0.000 0.716
Ag 0.500 0.500 0.500
P 0.500 0.500 0.128
P 0.500 0.500 0.872

Calculated total energy ... -29.29 eV per cell
Calculated density ... 7.15 g/cm3
DFT formation energy ... -0.27 eV/f.u.

---

Entry 15:
A geometry-optimized KAgP2 structure. Source: Alexandria, functional PBE-GGA.

a b c (Å): 5.656 2.725 5.696
angles (deg): 90.00 114.80 90.00
Atoms (fractional coordinates):
K 0.000 0.000 0.000
Ag 0.500 0.000 0.500
P 0.000 0.500 0.500
P 0.500 0.500 0.000

Energy above the most stable polymorph in this dataset ... 584.0 meV/atom
Calculated total energy ... -13.09 eV per cell
Calculated density ... 4.35 g/cm3
DFT formation energy ... 1.68 eV/f.u.